# 1
Density functional theory data (PBE) for a geometry-optimized Ac7Ge4Ru structure.

Its volume is 824.55 Å³/cell. The total energy comes out at -5.08 eV/atom.

The space group is C2/m (No. 12) and the conventional cell measures 15.9156, 5.4306 and 11.5511 Å, with angles of 90.00, 124.32 and 90.00 degrees. Symmetry generates all atoms from Ac at (0.0000, 0.0000, 0.0000), Ac at (0.0782, 0.5000, 0.2811), Ac at (0.1404, 0.0000, 0.5464), Ac at (0.2135, 0.5000, 0.8668), Ge at (0.0779, 0.0000, 0.7749), Ge at (0.2277, 0.0000, 0.3486) and Ru at (0.0000, 0.5000, 0.0000).

# 2
Density functional theory data (PBE) for a geometry-optimized TlZn2B2 structure.

Its volume is 145.08 Å³/cell. The total energy comes out at -2.92 eV/atom. As for the energy above the most stable polymorph in this dataset: 0.060 eV per atom.

The space group is I4/mmm (No. 139) and the conventional cell measures 3.0035, 3.0035 and 16.0823 Å, with angles of 90.00, 90.00 and 90.00 degrees. Symmetry generates all atoms from Tl at (0.0000, 0.0000, 0.0000), Zn at (0.0000, 0.0000, 0.3523) and B at (0.0000, 0.5000, 0.2500).

# 3
Density functional theory data (PBE) for a geometry-optimized CdTcAu2 structure.

Its volume is 70.27 Å³/cell. The total energy comes out at -4.22 eV/atom.

The space group is P4mm (No. 99) and the conventional cell measures 2.8382, 2.8382 and 8.7239 Å, with angles of 90.00, 90.00 and 90.00 degrees. Symmetry generates all atoms from Cd at (0.0000, 0.0000, 0.0000), Tc at (0.5000, 0.5000, 0.2485), Au at (0.0000, 0.0000, 0.4779) and Au at (0.5000, 0.5000, 0.7383).

What did the second record say?
Density functional theory data (PBE) for a geometry-optimized TlZn2B2 structure.

Its volume is 145.08 Å³/cell. The total energy comes out at -2.92 eV/atom. As for the energy above the most stable polymorph in this dataset: 0.060 eV per atom.

The space group is I4/mmm (No. 139) and the conventional cell measures 3.0035, 3.0035 and 16.0823 Å, with angles of 90.00, 90.00 and 90.00 degrees. Symmetry generates all atoms from Tl at (0.0000, 0.0000, 0.0000), Zn at (0.0000, 0.0000, 0.3523) and B at (0.0000, 0.5000, 0.2500).